The following is a DFT calculation (PBE) of a relaxed AgPt crystal.

Structure (POSCAR):
```
AgPt
1.0
2.776 -0.002 0.000
-0.915 2.621 0.000
0.000 0.000 9.195
Ag Pt
2 2
direct
0.000 0.000 0.004
0.500 0.500 0.746
0.000 0.000 0.496
0.500 0.500 0.254
```

Energy of formation from the pure elements = 0.083 eV/atom
Magnetization = 0.000 μB/cell

***

The following is a DFT calculation (PBE) of a relaxed AgPt crystal.

Structure (POSCAR):
```
AgPt
1.0
-0.280 -4.733 -3.056
4.612 -2.488 -0.877
-3.718 1.637 3.425
Ag Pt
2 2
direct
0.000 0.997 0.003
0.083 0.753 0.330
0.516 0.506 0.010
0.567 0.244 0.323
```

Energy of formation from the pure elements = 0.005 eV/atom
Magnetization = 0.000 μB/cell

***

The following is a DFT calculation (PBE) of a relaxed Ag5Pt4 crystal.

Structure (POSCAR):
```
Ag5Pt4
1.0
-6.120 3.324 5.183
-4.989 -6.959 -1.428
-4.722 -2.737 3.449
Ag Pt
5 4
direct
0.000 0.000 0.000
0.333 0.333 0.000
0.333 0.667 0.000
0.667 0.333 0.000
0.667 0.667 0.000
0.000 0.341 0.000
0.000 0.659 0.000
0.341 0.000 0.000
0.659 0.000 0.000
```

Energy of formation from the pure elements = 0.034 eV/atom
Magnetization = 0.000 μB/cell

***

The following is a DFT calculation (PBE) of a relaxed Ag7Pt5 crystal.

Structure (POSCAR):
```
Ag7Pt5
1.0
5.008 -0.004 -0.001
-2.523 4.326 -0.001
0.838 1.458 9.304
Ag Pt
7 5
direct
0.998 0.002 0.000
0.095 0.421 0.750
0.163 0.837 0.500
0.245 0.241 0.249
0.499 0.501 0.500
0.579 0.905 0.250
0.759 0.755 0.751
0.323 0.677 0.000
0.438 0.087 0.752
0.663 0.337 0.000
0.825 0.175 0.500
0.913 0.562 0.248
```

Energy of formation from the pure elements = 0.034 eV/atom
Magnetization = 0.000 μB/cell

***

The following is a DFT calculation (PBE) of a relaxed AgPt crystal.

Structure (POSCAR):
```
AgPt
1.0
7.078 0.049 0.000
-0.015 4.898 0.000
0.000 0.000 5.723
Ag Pt
6 6
direct
0.000 0.000 0.998
0.665 0.166 0.250
0.000 0.500 0.750
0.335 0.834 0.250
0.000 0.000 0.502
0.000 0.500 0.250
0.334 0.337 0.506
0.666 0.663 0.994
0.661 0.160 0.750
0.334 0.337 0.994
0.666 0.663 0.506
0.339 0.840 0.750
```

Energy of formation from the pure elements = 0.021 eV/atom
Magnetization = 0.000 μB/cell

***

The following is a DFT calculation (PBE) of a relaxed Ag4Pt5 crystal.

Structure (POSCAR):
```
Ag4Pt5
1.0
-1.555 -4.412 -1.509
-1.637 -4.442 1.323
-11.931 -0.279 -0.347
Ag Pt
4 5
direct
0.998 0.998 0.003
0.558 0.558 0.775
0.215 0.215 0.112
0.341 0.341 0.666
0.126 0.126 0.546
0.660 0.660 0.334
0.778 0.778 0.889
0.896 0.896 0.444
0.430 0.430 0.232
```

Energy of formation from the pure elements = 0.026 eV/atom
Magnetization = 0.000 μB/cell